Below is a geometry-optimized KCoOs2 structure, with properties calculated at the PBE level.

Output
Fermi-level density of states (states/eV/f.u.): 4.24
Size of the total moment (μB per formula unit): 1.5
Excess energy over the best structure of this formula in the dataset (eV per atom): 0.014
Density (Mg/m³): 12.37
Space group: R-3m
Energy (eV per atom): -6.8615
Formation energy from the elements (eV per formula unit): 3.22

a = 10.1276 Å, b = 10.1276 Å, c = 10.1276 Å
α = 15.45°, β = 15.45°, γ = 15.45°
Fractional coordinates of all 4 atoms:
Os1 0.9843 0.9843 0.9843
Os2 0.5157 0.5157 0.5157
K1 0.7500 0.7500 0.7500
Co1 0.2500 0.2500 0.2500

Below is a geometry-optimized KCoOs2 structure, with properties calculated at the PBE level.

Output
Fermi-level density of states (states/eV/f.u.): 4.46
Size of the total moment (μB per formula unit): 1.1
Excess energy over the best structure of this formula in the dataset (eV per atom): 0.080
Density (Mg/m³): 12.06
Space group: P4/mmm
Energy (eV per atom): -6.7956
Formation energy from the elements (eV per formula unit): 3.48

a = 2.6567 Å, b = 2.6567 Å, c = 9.3350 Å
α = 90.00°, β = 90.00°, γ = 90.00°
Fractional coordinates of all 4 atoms:
Os1 0.0000 0.0000 0.0599
Os2 0.0000 0.0000 0.4401
K1 0.5000 0.5000 0.7500
Co1 0.5000 0.5000 0.2500

Below is a geometry-optimized KCoOs structure, with properties calculated at the PBE level.

Output
Fermi-level density of states (states/eV/f.u.): 4.70
Size of the total moment (μB per formula unit): 3.4
Excess energy over the best structure of this formula in the dataset (eV per atom): 1.057
Density (Mg/m³): 8.76
Space group: P6_3mc
Energy (eV per atom): -4.8231
Formation energy from the elements (eV per formula unit): 4.96

a = 4.8739 Å, b = 4.8739 Å, c = 5.3137 Å
α = 90.00°, β = 90.00°, γ = 120.00°
Fractional coordinates of all 6 atoms:
K1 0.0000 0.0000 0.2488
K2 0.0000 0.0000 0.7488
Co1 0.3333 0.6667 0.0199
Co2 0.6667 0.3333 0.5199
Os1 0.6667 0.3333 0.9812
Os2 0.3333 0.6667 0.4812

Below is a geometry-optimized KCoOs structure, with properties calculated at the PBE level.

Output
Fermi-level density of states (states/eV/f.u.): 2.67
Size of the total moment (μB per formula unit): 1.5
Excess energy over the best structure of this formula in the dataset (eV per atom): 0.093
Density (Mg/m³): 5.76
Space group: P1
Energy (eV per atom): -5.7873
Formation energy from the elements (eV per formula unit): 2.07

a = 3.6732 Å, b = 4.4476 Å, c = 11.4610 Å
α = 95.19°, β = 98.58°, γ = 114.43°
Fractional coordinates of all 6 atoms:
Co1 0.0960 0.9655 0.7977
Co2 0.8675 0.4481 0.8613
Os1 0.3599 0.3090 0.9941
Os2 0.6202 0.8822 0.9392
K1 0.2147 0.8162 0.2120
K2 0.2534 0.4659 0.5979